1.
Compound: Dy2Ho3Mg
Source: Alexandria via LeMat-Bulk
Functional: PBE-GGA
Structure: optimized geometry

Output
Energy of formation from the pure elements ... -0.070 eV per formula unit

Unit cell a=3.5395 b=3.5395 c=14.3279 alpha=90.00 beta=90.00 gamma=90.00
Space group P4/mmm (No. 123)
Unique sites:
Dy1 0.0000 0.0000 0.1749 x2
Ho1 0.5000 0.5000 0.0000 x1
Ho2 0.5000 0.5000 0.3461 x2
Mg1 0.0000 0.0000 0.5000 x1



2.
Compound: Dy8HoMg2
Source: Alexandria via LeMat-Bulk
Functional: PBE-GGA
Structure: optimized geometry

Output
Energy of formation from the pure elements ... 0.186 eV per formula unit

Unit cell a=16.5129 b=5.3082 c=8.3656 alpha=90.00 beta=115.43 gamma=90.00
Space group C2/m (No. 12)
Unique sites:
Dy1 0.0565 0.0000 0.2350 x4
Dy2 0.0997 0.5000 0.9699 x4
Dy3 0.1468 0.0000 0.7018 x4
Dy4 0.1877 0.5000 0.4512 x4
Ho1 0.0000 0.5000 0.5000 x2
Mg1 0.2270 0.0000 0.1283 x4



- What is the formula in the first record?
  Dy2Ho3Mg



Please write out number 2 again, unchanged.
Compound: Dy8HoMg2
Source: Alexandria via LeMat-Bulk
Functional: PBE-GGA
Structure: optimized geometry

Output
Energy of formation from the pure elements ... 0.186 eV per formula unit

Unit cell a=16.5129 b=5.3082 c=8.3656 alpha=90.00 beta=115.43 gamma=90.00
Space group C2/m (No. 12)
Unique sites:
Dy1 0.0565 0.0000 0.2350 x4
Dy2 0.0997 0.5000 0.9699 x4
Dy3 0.1468 0.0000 0.7018 x4
Dy4 0.1877 0.5000 0.4512 x4
Ho1 0.0000 0.5000 0.5000 x2
Mg1 0.2270 0.0000 0.1283 x4



Repeat the first record exactly.
Compound: Dy2Ho3Mg
Source: Alexandria via LeMat-Bulk
Functional: PBE-GGA
Structure: optimized geometry

Output
Energy of formation from the pure elements ... -0.070 eV per formula unit

Unit cell a=3.5395 b=3.5395 c=14.3279 alpha=90.00 beta=90.00 gamma=90.00
Space group P4/mmm (No. 123)
Unique sites:
Dy1 0.0000 0.0000 0.1749 x2
Ho1 0.5000 0.5000 0.0000 x1
Ho2 0.5000 0.5000 0.3461 x2
Mg1 0.0000 0.0000 0.5000 x1



- Which value of energy of formation from the pure elements does entry 2 give?
  0.186 eV per formula unit